# CsFeRe2O8, relaxed, DFT GGA+U
data_CsFeRe2O8
_chemical_formula_sum 'Cs3 Fe3 Re6 O24'
_symmetry_space_group_name_H-M 'R -3 m'
_symmetry_Int_Tables_number 166
_symmetry_space_group_name_Hall '-R 3 2"'
_cell_length_a 5.8855
_cell_length_b 5.8855
_cell_length_c 26.3251
_cell_angle_alpha 90.00
_cell_angle_beta 90.00
_cell_angle_gamma 120.00
loop_
_atom_site_label
_atom_site_type_symbol
_atom_site_fract_x
_atom_site_fract_y
_atom_site_fract_z
Cs1 Cs 0.0000 0.0000 0.0000
Fe1 Fe 0.0000 0.0000 0.5000
Re1 Re 0.0000 0.0000 0.2345
O1 O 0.0000 0.0000 0.3017
O2 O 0.0041 0.5021 0.8792
# size of the total moment = 8.9 Bohr magnetons per cell
# electronic total energy = -271.71 eV for the cell shown